DFT (GGA-PBE) results for crystalline TlCoCu4 at its relaxed geometry.

Output
ρ ... 10.2 Mg/m³
Calculated formation energy ... 332 meV per atom
Total moment ... 1.49 μB per formula unit
Space-group type ... No. 216

Structure (CIF):
```
data_TlCoCu4
_chemical_formula_sum 'Tl1 Co1 Cu4'
_symmetry_space_group_name_H-M 'P 1'
_symmetry_Int_Tables_number 1
_symmetry_space_group_name_Hall 'P 1'
_cell_length_a 4.913
_cell_length_b 4.913
_cell_length_c 4.913
_cell_angle_alpha 60.00
_cell_angle_beta 60.00
_cell_angle_gamma 60.00
loop_
_atom_site_label
_atom_site_fract_x
_atom_site_fract_y
_atom_site_fract_z
_atom_site_occupancy
Tl1 0.000 0.000 0.000 1
Co1 0.750 0.750 0.750 1
Cu1 0.376 0.376 0.376 1
Cu2 0.376 0.376 0.872 1
Cu3 0.376 0.872 0.376 1
Cu4 0.872 0.376 0.376 1
```